Material: TiBeSi3
Method: DFT, GGA-PBEsol
State: relaxed

The density of states at the Fermi level is 4.8 states/eV/f.u. The formation energy from raw total energies comes out at 0.62 eV/atom. As for the total energy: -0.19442 hartree per atom. The crystal system is cubic.

It has space group Pm-3m (No. 221), with a = 4.2074 Å, b = 4.2074 Å, c = 4.2074 Å, α = 90.00°, β = 90.00° and γ = 90.00°. The distinct sites, in fractional coordinates, are Ti at (0.0000, 0.0000, 0.0000), Be at (0.5000, 0.5000, 0.5000) and Si at (0.0000, 0.5000, 0.5000).



Material: LiP3O
Method: DFT, GGA-PBEsol
State: relaxed

The density of states at the Fermi level is 2.6 states/eV/f.u. The formation energy from raw total energies comes out at 1.17 eV/atom. As for the total energy: -0.13776 hartree per atom. The crystal system is cubic.

It has space group Pm-3m (No. 221), with a = 4.1343 Å, b = 4.1343 Å, c = 4.1343 Å, α = 90.00°, β = 90.00° and γ = 90.00°. The distinct sites, in fractional coordinates, are Li at (0.0000, 0.0000, 0.0000), P at (0.0000, 0.0000, 0.5000) and O at (0.5000, 0.5000, 0.5000).



Material: PtAu3
Method: DFT, GGA-PBEsol
State: relaxed

The density of states at the Fermi level is 1.5 states/eV/f.u. As for the total energy: -0.17111 hartree per atom. As for the formation energy from the elements: 0.028 eV/atom. The crystal system is hexagonal.

It has space group P-6m2 (No. 187), with a = 2.8100 Å, b = 2.8100 Å, c = 9.5994 Å, α = 90.00°, β = 90.00° and γ = 120.00°. The distinct sites, in fractional coordinates, are Pt at (0.0000, 0.0000, 0.0000), Au at (0.0000, 0.0000, 0.5000) and Au at (0.3333, 0.6667, 0.2461).



Q: Among the records above, which one has the lowest total energy?
A: TiBeSi3



Repeat the third record exactly.
Material: PtAu3
Method: DFT, GGA-PBEsol
State: relaxed

The density of states at the Fermi level is 1.5 states/eV/f.u. As for the total energy: -0.17111 hartree per atom. As for the formation energy from the elements: 0.028 eV/atom. The crystal system is hexagonal.

It has space group P-6m2 (No. 187), with a = 2.8100 Å, b = 2.8100 Å, c = 9.5994 Å, α = 90.00°, β = 90.00° and γ = 120.00°. The distinct sites, in fractional coordinates, are Pt at (0.0000, 0.0000, 0.0000), Au at (0.0000, 0.0000, 0.5000) and Au at (0.3333, 0.6667, 0.2461).



Q: Which formula does entry 3 have?
A: PtAu3